1.
A plane-wave DFT calculation with PBE was carried out for an optimized crystal structure of Cr2CuBr.

Unit cell a=3.3268 b=5.3156 c=8.2602 alpha=90.00 beta=90.00 gamma=90.00
Atoms (fractional coordinates):
Cr1 0.0000 0.0000 0.2482
Cr2 0.0000 0.0000 0.7518
Cr3 0.5000 0.5000 0.2518
Cr4 0.5000 0.5000 0.7482
Cu1 0.0000 0.5000 0.5000
Cu2 0.5000 0.0000 0.0000
Br1 0.0000 0.5000 0.0000
Br2 0.5000 0.0000 0.5000

Properties
For the energy above the lowest structure with this stoichiometry, the calculation gives 448.4 meV per atom. As for the density of states at the Fermi level: 2.90 states/eV/f.u. For the formation energy from raw total energies, the calculation gives 0.799 eV per atom.

---

2.
A plane-wave DFT calculation with PBE was carried out for an optimized crystal structure of CaAcYSc.

Unit cell a=8.2212 b=8.2212 c=8.2212 alpha=90.00 beta=90.00 gamma=90.00
Atoms (fractional coordinates):
Ca1 0.0000 0.0000 0.0000
Ca2 0.0000 0.5000 0.5000
Ca3 0.5000 0.0000 0.5000
Ca4 0.5000 0.5000 0.0000
Ac1 0.2500 0.2500 0.7500
Ac2 0.2500 0.7500 0.2500
Ac3 0.7500 0.2500 0.2500
Ac4 0.7500 0.7500 0.7500
Y1 0.2500 0.2500 0.2500
Y2 0.2500 0.7500 0.7500
Y3 0.7500 0.2500 0.7500
Y4 0.7500 0.7500 0.2500
Sc1 0.0000 0.0000 0.5000
Sc2 0.0000 0.5000 0.0000
Sc3 0.5000 0.0000 0.0000
Sc4 0.5000 0.5000 0.5000

Properties
The calculation puts the total energy at -73.3 eV per cell. As for the density of states at the Fermi level: 6.44 states/eV/f.u.